Record 1
First-principles (GGA-PBE) data for a geometry-optimized LaThSiS structure, as listed in Alexandria via LeMat-Bulk.

Output
uncorrected formation energy = -1.34 eV per atom

Geometry as POSCAR:
```
LaThSiS
1.0
2.127 1.228 6.833
-2.127 1.228 6.833
0.000 -2.457 6.833
La Th Si S
1 1 1 1
Direct
0.000 0.000 0.000
0.501 0.501 0.501
0.247 0.247 0.247
0.754 0.754 0.754
```

---

Record 2
First-principles (GGA-PBE) data for a geometry-optimized LaSmS2 structure, as listed in Alexandria via LeMat-Bulk.

Output
uncorrected formation energy = -2.03 eV per atom
polymorph energy (0 for the lowest one) = 0.079 eV/atom

Geometry as POSCAR:
```
LaSmS2
1.0
2.002 1.156 7.041
-2.002 1.156 7.041
0.000 -2.312 7.041
La Sm S
1 1 2
Direct
0.000 0.000 0.000
0.822 0.822 0.822
0.240 0.240 0.240
0.416 0.416 0.416
```

---

Record 3
First-principles (GGA-PBE) data for a geometry-optimized LaSmS3 structure, as listed in Alexandria via LeMat-Bulk.

Output
uncorrected formation energy = -2.15 eV per atom
polymorph energy (0 for the lowest one) = 0.000 eV/atom

Geometry as POSCAR:
```
LaSmS3
1.0
7.523 0.000 0.000
0.000 4.101 0.000
0.000 0.000 15.650
La Sm S
4 4 12
Direct
0.144 0.250 0.202
0.356 0.750 0.702
0.644 0.250 0.298
0.856 0.750 0.798
0.233 0.750 0.456
0.267 0.250 0.956
0.733 0.750 0.044
0.767 0.250 0.544
0.012 0.250 0.394
0.126 0.750 0.064
0.149 0.250 0.783
0.351 0.750 0.283
0.374 0.250 0.564
0.488 0.750 0.894
0.512 0.250 0.106
0.626 0.750 0.436
0.649 0.250 0.717
0.851 0.750 0.217
0.874 0.250 0.936
0.988 0.750 0.606
```

---

Record 4
First-principles (GGA-PBE) data for a geometry-optimized LaSm4S4 structure, as listed in Alexandria via LeMat-Bulk.

Output
uncorrected formation energy = -1.80 eV per atom

Geometry as POSCAR:
```
LaSm4S4
1.0
-4.500 4.500 2.829
4.500 -4.500 2.829
4.500 4.500 -2.829
La Sm S
1 4 4
Direct
0.000 0.000 0.000
0.195 0.606 0.800
0.394 0.195 0.589
0.606 0.805 0.411
0.805 0.394 0.200
0.101 0.306 0.407
0.306 0.899 0.205
0.694 0.101 0.795
0.899 0.694 0.593
```

---

Record 5
First-principles (GGA-PBE) data for a geometry-optimized La5Sm3S8 structure, as listed in Alexandria via LeMat-Bulk.

Output
uncorrected formation energy = -2.11 eV per atom

Geometry as POSCAR:
```
La5Sm3S8
1.0
4.101 2.367 6.703
-4.101 2.367 6.703
0.000 -4.735 6.703
La Sm S
5 3 8
Direct
0.000 0.000 0.000
0.000 0.500 0.500
0.500 0.000 0.500
0.500 0.500 0.000
0.500 0.500 0.500
0.000 0.000 0.500
0.000 0.500 0.000
0.500 0.000 0.000
0.243 0.750 0.750
0.247 0.247 0.247
0.250 0.250 0.757
0.250 0.757 0.250
0.750 0.243 0.750
0.750 0.750 0.243
0.753 0.753 0.753
0.757 0.250 0.250
```

---

Record 6
First-principles (GGA-PBE) data for a geometry-optimized LaSm3S4 structure, as listed in Alexandria via LeMat-Bulk.

Output
uncorrected formation energy = -2.04 eV per atom
polymorph energy (0 for the lowest one) = 0.016 eV/atom

Geometry as POSCAR:
```
LaSm3S4
1.0
5.726 0.000 0.000
0.000 5.726 0.000
0.000 0.000 5.726
La Sm S
1 3 4
Direct
0.000 0.000 0.000
0.000 0.500 0.500
0.500 0.000 0.500
0.500 0.500 0.000
0.000 0.000 0.500
0.000 0.500 0.000
0.500 0.000 0.000
0.500 0.500 0.500
```

---

Record 7
First-principles (GGA-PBE) data for a geometry-optimized La3Sm5S8 structure, as listed in Alexandria via LeMat-Bulk.

Output
uncorrected formation energy = -2.08 eV per atom

Geometry as POSCAR:
```
La3Sm5S8
1.0
4.064 2.346 6.640
-4.064 2.346 6.640
0.000 -4.693 6.640
La Sm S
3 5 8
Direct
0.000 0.500 0.500
0.500 0.000 0.500
0.500 0.500 0.000
0.000 0.000 0.000
0.000 0.000 0.500
0.000 0.500 0.000
0.500 0.000 0.000
0.500 0.500 0.500
0.243 0.750 0.750
0.246 0.246 0.246
0.250 0.250 0.757
0.250 0.757 0.250
0.750 0.243 0.750
0.750 0.750 0.243
0.754 0.754 0.754
0.757 0.250 0.250
```

---

Record 8
First-principles (GGA-PBE) data for a geometry-optimized La2Sm2S3 structure, as listed in Alexandria via LeMat-Bulk.

Output
uncorrected formation energy = -1.77 eV per atom

Geometry as POSCAR:
```
La2Sm2S3
1.0
6.774 -2.040 0.000
6.774 2.040 0.000
-1.440 0.000 6.858
La Sm S
2 2 3
Direct
0.125 0.125 0.368
0.875 0.875 0.632
0.369 0.369 0.131
0.631 0.631 0.869
0.248 0.248 0.755
0.500 0.500 0.500
0.752 0.752 0.245
```

---

Record 9
First-principles (GGA-PBE) data for a geometry-optimized La3SmS structure, as listed in Alexandria via LeMat-Bulk.

Output
uncorrected formation energy = -0.72 eV per atom

Geometry as POSCAR:
```
La3SmS
1.0
5.613 0.000 0.000
0.000 5.613 0.000
0.000 0.000 5.613
La Sm S
3 1 1
Direct
0.000 0.000 0.500
0.000 0.500 0.000
0.500 0.000 0.000
0.500 0.500 0.500
0.000 0.000 0.000
```

---

Record 10
First-principles (GGA-PBE) data for a geometry-optimized La3SmS4 structure, as listed in Alexandria via LeMat-Bulk.

Output
uncorrected formation energy = -2.13 eV per atom
polymorph energy (0 for the lowest one) = 0.003 eV/atom

Geometry as POSCAR:
```
La3SmS4
1.0
4.136 -5.831 0.000
4.136 5.831 0.000
0.000 0.000 4.100
La Sm S
3 1 4
Direct
0.000 0.000 0.000
0.000 0.500 0.500
0.500 0.000 0.500
0.500 0.500 0.000
0.254 0.746 0.000
0.257 0.257 0.500
0.743 0.743 0.500
0.746 0.254 0.000
```

---

Record 11
First-principles (GGA-PBE) data for a geometry-optimized La2SmS4 structure, as listed in Alexandria via LeMat-Bulk.

Output
uncorrected formation energy = -2.12 eV per atom
polymorph energy (0 for the lowest one) = 0.000 eV/atom

Geometry as POSCAR:
```
La2SmS4
1.0
-4.351 4.351 4.292
4.351 -4.351 4.292
4.351 4.351 -4.292
La Sm S
4 2 8
Direct
0.011 0.625 0.886
0.375 0.261 0.386
0.739 0.125 0.114
0.875 0.989 0.614
0.250 0.750 0.500
0.500 0.500 0.000
0.129 0.381 0.605
0.131 0.379 0.105
0.273 0.026 0.895
0.477 0.871 0.253
0.619 0.224 0.747
0.621 0.727 0.753
0.776 0.523 0.395
0.974 0.869 0.247
```

---

Record 12
First-principles (GGA-PBE) data for a geometry-optimized La4SmS6 structure, as listed in Alexandria via LeMat-Bulk.

Output
uncorrected formation energy = -2.01 eV per atom

Geometry as POSCAR:
```
La4SmS6
1.0
5.815 3.357 4.666
-5.815 3.357 4.666
0.000 -6.714 4.666
La Sm S
8 2 12
Direct
0.127 0.750 0.373
0.250 0.250 0.250
0.250 0.627 0.873
0.373 0.127 0.750
0.627 0.873 0.250
0.750 0.373 0.127
0.750 0.750 0.750
0.873 0.250 0.627
0.000 0.000 0.000
0.500 0.500 0.500
0.061 0.913 0.684
0.087 0.316 0.939
0.184 0.413 0.561
0.316 0.939 0.087
0.413 0.561 0.184
0.439 0.816 0.587
0.561 0.184 0.413
0.587 0.439 0.816
0.684 0.061 0.913
0.816 0.587 0.439
0.913 0.684 0.061
0.939 0.087 0.316
```

---

Record 13
First-principles (GGA-PBE) data for a geometry-optimized La2SmS3 structure, as listed in Alexandria via LeMat-Bulk.

Output
uncorrected formation energy = -2.12 eV per atom

Geometry as POSCAR:
```
La2SmS3
1.0
0.000 5.812 12.236
4.131 0.000 12.236
4.131 5.812 0.000
La Sm S
8 4 12
Direct
0.042 0.042 0.208
0.124 0.124 0.626
0.208 0.208 0.042
0.374 0.374 0.876
0.626 0.626 0.124
0.792 0.792 0.958
0.876 0.876 0.374
0.958 0.958 0.792
0.292 0.292 0.458
0.458 0.458 0.292
0.542 0.542 0.708
0.708 0.708 0.542
0.040 0.541 0.217
0.133 0.617 0.617
0.217 0.702 0.040
0.298 0.783 0.459
0.383 0.867 0.867
0.459 0.960 0.298
0.541 0.040 0.702
0.617 0.133 0.133
0.702 0.217 0.541
0.783 0.298 0.960
0.867 0.383 0.383
0.960 0.459 0.783
```

---

Record 14
First-principles (GGA-PBE) data for a geometry-optimized LaSm5S6 structure, as listed in Alexandria via LeMat-Bulk.

Output
uncorrected formation energy = -2.05 eV per atom

Geometry as POSCAR:
```
LaSm5S6
1.0
3.492 -6.065 0.000
3.492 6.065 0.000
-2.354 0.000 6.571
La Sm S
1 5 6
Direct
0.000 0.000 0.000
0.165 0.835 0.500
0.333 0.667 0.000
0.500 0.500 0.500
0.667 0.333 0.000
0.835 0.165 0.500
0.085 0.423 0.254
0.255 0.255 0.748
0.423 0.085 0.254
0.577 0.915 0.746
0.745 0.745 0.252
0.915 0.577 0.746
```

---

Record 15
First-principles (GGA-PBE) data for a geometry-optimized LaSm3S structure, as listed in Alexandria via LeMat-Bulk.

Output
uncorrected formation energy = -0.68 eV per atom

Geometry as POSCAR:
```
LaSm3S
1.0
5.472 0.000 0.000
0.000 5.472 0.000
0.000 0.000 5.472
La Sm S
1 3 1
Direct
0.000 0.000 0.000
0.000 0.500 0.500
0.500 0.000 0.500
0.500 0.500 0.000
0.500 0.500 0.500
```

---

Record 16
First-principles (GGA-PBE) data for a geometry-optimized La3SmS4 structure, as listed in Alexandria via LeMat-Bulk.

Output
uncorrected formation energy = -2.13 eV per atom
polymorph energy (0 for the lowest one) = 0.000 eV/atom

Geometry as POSCAR:
```
La3SmS4
1.0
7.156 0.000 0.000
0.000 8.197 0.000
-2.378 0.000 6.742
La Sm S
6 2 8
Direct
0.000 0.125 0.250
0.000 0.375 0.750
0.000 0.625 0.250
0.000 0.875 0.750
0.500 0.125 0.750
0.500 0.875 0.250
0.500 0.375 0.250
0.500 0.625 0.750
0.254 0.129 0.004
0.254 0.871 0.504
0.257 0.379 0.500
0.257 0.621 0.000
0.743 0.379 0.000
0.743 0.621 0.500
0.746 0.129 0.496
0.746 0.871 0.996
```

---

Record 17
First-principles (GGA-PBE) data for a geometry-optimized LaSm3S6 structure, as listed in Alexandria via LeMat-Bulk.

Output
uncorrected formation energy = -2.10 eV per atom

Geometry as POSCAR:
```
LaSm3S6
1.0
11.296 0.000 0.000
0.000 4.099 0.000
-3.649 0.000 11.000
La Sm S
2 6 12
Direct
0.048 0.250 0.191
0.952 0.750 0.809
0.161 0.250 0.586
0.320 0.750 0.997
0.439 0.250 0.332
0.561 0.750 0.668
0.680 0.250 0.003
0.839 0.750 0.414
0.083 0.750 0.404
0.116 0.250 0.962
0.193 0.750 0.749
0.262 0.750 0.226
0.397 0.250 0.561
0.478 0.250 0.110
0.522 0.750 0.890
0.603 0.750 0.439
0.738 0.250 0.774
0.807 0.250 0.251
0.884 0.750 0.038
0.917 0.250 0.596
```

---

Record 18
First-principles (GGA-PBE) data for a geometry-optimized LaSmS3 structure, as listed in Alexandria via LeMat-Bulk.

Output
uncorrected formation energy = -2.02 eV per atom
polymorph energy (0 for the lowest one) = 0.123 eV/atom

Geometry as POSCAR:
```
LaSmS3
1.0
7.737 -2.347 0.000
7.737 2.347 0.000
-0.856 0.000 8.182
La Sm S
2 2 6
Direct
0.143 0.143 0.366
0.857 0.857 0.634
0.375 0.375 0.083
0.625 0.625 0.917
0.181 0.181 0.042
0.327 0.327 0.409
0.455 0.455 0.780
0.545 0.545 0.220
0.673 0.673 0.591
0.819 0.819 0.958
```

---

Record 19
First-principles (GGA-PBE) data for a geometry-optimized La4SmS5 structure, as listed in Alexandria via LeMat-Bulk.

Output
uncorrected formation energy = -2.14 eV per atom

Geometry as POSCAR:
```
La4SmS5
1.0
-4.612 4.612 2.922
4.612 -4.612 2.922
4.612 4.612 -2.922
La Sm S
4 1 5
Direct
0.099 0.300 0.399
0.300 0.901 0.202
0.700 0.099 0.798
0.901 0.700 0.601
0.500 0.500 0.000
0.000 0.000 0.000
0.205 0.599 0.804
0.401 0.205 0.606
0.599 0.795 0.394
0.795 0.401 0.196
```

---

Record 20
First-principles (GGA-PBE) data for a geometry-optimized LaSmS2 structure, as listed in Alexandria via LeMat-Bulk.

Output
uncorrected formation energy = -2.07 eV per atom
polymorph energy (0 for the lowest one) = 0.033 eV/atom

Geometry as POSCAR:
```
LaSmS2
1.0
4.045 0.000 0.000
-2.022 3.503 0.000
0.000 0.000 13.625
La Sm S
2 2 4
Direct
0.333 0.667 0.250
0.667 0.333 0.750
0.000 0.000 0.000
0.000 0.000 0.500
0.333 0.667 0.619
0.333 0.667 0.881
0.667 0.333 0.119
0.667 0.333 0.381
```

---

| no. | theoretical density (Mg/m³) |
| --- | --- |
| 1 | 6.68 |
| 2 | 6.00 |
| 3 | 5.30 |
| 4 | 6.30 |
| 5 | 5.96 |
| 6 | 6.35 |
| 7 | 6.23 |
| 8 | 5.91 |
| 9 | 5.63 |
| 10 | 5.84 |
| 11 | 5.69 |
| 12 | 5.46 |
| 13 | 5.93 |
| 14 | 6.46 |
| 15 | 6.31 |
| 16 | 5.84 |
| 17 | 5.10 |
| 18 | 4.31 |
| 19 | 5.79 |
| 20 | 6.08 |